Entry 1:
# TlAsSe2Br (PBE, relaxed)
# energy above the most stable polymorph in this dataset	781	meV/atom
# DOS(E_F)	0.61	states/eV/atom
# total magnetization	0.8	μB per cell
# E_form (uncorrected)	715	meV per atom
# mass density	5.3	g/cm³
# symmetry	P4/mmm
data_TlAsSe2Br
_space_group_name_H-M_alt 'P 1'
_space_group_IT_number 1
_space_group_name_Hall 'P 1'
_cell_length_a 5.471
_cell_length_b 5.471
_cell_length_c 5.439
_cell_angle_alpha 90.00
_cell_angle_beta 90.00
_cell_angle_gamma 90.00
loop_
_atom_site_label
_atom_site_type_symbol
_atom_site_fract_x
_atom_site_fract_y
_atom_site_fract_z
As1 As 0.500 0.500 0.500
Tl1 Tl 0.000 0.000 0.000
Se1 Se 0.000 0.500 0.000
Se2 Se 0.500 0.000 0.000
Br1 Br 0.000 0.000 0.500

***

Entry 2:
# NaVRu (PBE, relaxed)
# energy above the most stable polymorph in this dataset	92	meV/atom
# calculated formation energy	134	meV per atom
# DOS(E_F)	0.72	states/eV/atom
# total magnetization	0.0	μB per cell
# mass density	5.0	g/cm³
# symmetry	P2_1/m
data_NaVRu
_space_group_name_H-M_alt 'P 1'
_space_group_IT_number 1
_space_group_name_Hall 'P 1'
_cell_length_a 2.833
_cell_length_b 4.014
_cell_length_c 10.299
_cell_angle_alpha 90.00
_cell_angle_beta 96.45
_cell_angle_gamma 90.00
loop_
_atom_site_label
_atom_site_type_symbol
_atom_site_fract_x
_atom_site_fract_y
_atom_site_fract_z
Na1 Na 0.194 0.250 0.360
Na2 Na 0.806 0.750 0.640
V1 V 0.861 0.250 0.065
V2 V 0.139 0.750 0.935
Ru1 Ru 0.448 0.250 0.846
Ru2 Ru 0.552 0.750 0.154

***

Entry 3:
# TlCd2Br (PBE, relaxed)
# energy above the most stable polymorph in this dataset	46	meV/atom
# DOS(E_F)	0.25	states/eV/atom
# total magnetization	0.0	μB per cell
# E_form (uncorrected)	-253	meV per atom
# mass density	6.7	g/cm³
# symmetry	P1
data_TlCd2Br
_space_group_name_H-M_alt 'P 1'
_space_group_IT_number 1
_space_group_name_Hall 'P 1'
_cell_length_a 3.991
_cell_length_b 4.981
_cell_length_c 7.086
_cell_angle_alpha 69.51
_cell_angle_beta 73.65
_cell_angle_gamma 90.01
loop_
_atom_site_label
_atom_site_type_symbol
_atom_site_fract_x
_atom_site_fract_y
_atom_site_fract_z
Tl1 Tl 0.487 0.512 0.469
Br1 Br 0.987 0.012 0.469
Cd1 Cd 0.736 0.765 0.958
Cd2 Cd 0.226 0.253 0.980